1.
Density functional theory data (GGA-PBE) for an optimized crystal structure of Ba2CaCuAg.

- ΔH_f (0 K): 0.08 eV per atom
- Space-group type: P4/mmm

Cell lengths 6.143, 5.577, 6.143 Å; angles 90.00, 90.00, 90.00 degrees
Fractional coordinates of all 5 atoms:
Ag 0.500 0.500 0.500
Cu 0.000 0.000 0.000
Ca 0.000 0.500 0.000
Ba 0.500 0.000 0.000
Ba 0.000 0.000 0.500

***

2.
Density functional theory data (GGA-PBE) for an optimized crystal structure of CoSbI2Cl.

- Energy above the most stable polymorph in this dataset: 0 meV/atom
- Energy relative to the elements, uncorrected: 0.246 eV/atom
- Space-group type: P4/mmm

Cell lengths 5.247, 5.247, 4.987 Å; angles 90.00, 90.00, 90.00 degrees
Site moments in Bohr magnetons follow the coordinates.
Fractional coordinates of all 5 atoms:
Cl 0.500 0.500 0.500  0.07
Sb 0.000 0.000 0.500  -0.01
I 0.000 0.500 0.000  0.07
I 0.500 0.000 0.000  0.07
Co 0.000 0.000 0.000  0.84

***

3.
Density functional theory data (GGA-PBE) for an optimized crystal structure of Hf6ZnBi.

- ΔH_f (0 K): 0.33 eV per atom
- Space-group type: C2/m

Cell lengths 6.370, 6.370, 6.368 Å; angles 105.06, 105.06, 121.88 degrees
Fractional coordinates of all 8 atoms:
Hf 0.024 0.477 0.266
Hf 0.976 0.523 0.734
Bi 0.000 0.000 0.000
Hf 0.744 0.744 0.260
Hf 0.256 0.256 0.740
Hf 0.477 0.024 0.266
Hf 0.523 0.976 0.734
Zn 0.500 0.500 0.500